[1]
The following is a DFT calculation (PBE) of a relaxed structure of Pu2ScC.

Lattice parameters (Å, degrees): 9.017 9.017 9.017 21.49 21.49 21.49
Fractional coordinates of all 4 atoms:
Pu 0.223 0.223 0.223
Pu 0.777 0.777 0.777
Sc 0.000 0.000 0.000
C 0.500 0.500 0.500

## Properties
ΔE_f in eV per atom: 0.11

[2]
The following is a DFT calculation (PBE) of a relaxed structure of AlCdHg3.

Lattice parameters (Å, degrees): 5.523 5.523 5.523 90.00 90.00 90.00
Fractional coordinates of all 5 atoms:
Al 0.000 0.000 0.000
Cd 0.500 0.500 0.500
Hg 0.000 0.500 0.500
Hg 0.500 0.000 0.500
Hg 0.500 0.500 0.000

## Properties
Energy above the most stable polymorph in this dataset in meV/atom: 321
ΔE_f in eV per atom: 0.47

[3]
The following is a DFT calculation (PBE) of a relaxed structure of ZrTlN2.

Lattice parameters (Å, degrees): 6.886 6.886 6.886 28.47 28.47 28.47
Fractional coordinates of all 4 atoms:
Zr 0.000 0.000 0.000
Tl 0.500 0.500 0.500
N 0.388 0.388 0.388
N 0.612 0.612 0.612

## Properties
ΔE_f (raw) in eV/atom: -0.34
Energy above the most stable polymorph in this dataset in meV/atom: 0